Computed, not measured: a geometry-optimized AcMg2Zn4Cd structure at the GGA-PBE level of DFT.

Properties
* uncorrected energy: -14.4 eV for the cell shown
* Fermi-level density of states: 4.09 states/eV/f.u.
* formation energy: -0.135 eV per atom
* size of the total moment: 0.000 μB/atom
* theoretical density: 6.2 g cm⁻³

a = 4.6105 Å, b = 4.6105 Å, c = 9.8848 Å
α = 76.51°, β = 76.51°, γ = 60.00°
Closest atoms and distances in Å follow each position.
Atoms (fractional coordinates):
1 Zn 0.8770 0.8770 0.3691  3 Mg 2.77, 3 Cd 2.94, 3 Zn 3.09
2 Ac 0.0000 0.0000 0.0000  8 Zn 3.29-3.51
3 Zn 0.4011 0.4011 0.7967  3 Mg 2.78, 1 Cd 2.82, 3 Zn 3.09
4 Mg 0.7624 0.7624 0.7129  6 Zn 2.77-2.78
5 Mg 0.2376 0.2376 0.2871  6 Zn 2.77-2.78
6 Cd 0.5000 0.5000 0.5000  8 Zn 2.82-2.94
7 Zn 0.1230 0.1230 0.6309  3 Mg 2.77, 3 Cd 2.94, 3 Zn 3.09
8 Zn 0.5989 0.5989 0.2033  3 Mg 2.78, 1 Cd 2.82, 3 Zn 3.09

=====

Computed, not measured: a geometry-optimized Ac2MgZn4Cd3 structure at the GGA-PBE level of DFT.

Properties
* uncorrected energy: -20.0 eV for the cell shown
* Fermi-level density of states: 7.81 states/eV/f.u.
* formation energy: -0.236 eV per atom
* size of the total moment: 0.000 μB/atom
* theoretical density: 7.4 g cm⁻³

a = 4.6790 Å, b = 4.6790 Å, c = 11.0741 Å
α = 90.00°, β = 90.00°, γ = 90.00°
Closest atoms and distances in Å follow each position.
Atoms (fractional coordinates):
1 Zn 0.5000 0.0000 0.6355  3 Cd 2.64-2.78, 2 Mg 2.78
2 Cd 0.0000 0.0000 0.5000  4 Zn 2.78
3 Ac 0.5000 0.0000 0.2398  6 Cd 3.54-3.71, 8 Zn 3.54-3.59, 2 Mg 3.71
4 Mg 0.5000 0.5000 0.5000  4 Zn 2.78
5 Ac 0.0000 0.5000 0.7602  6 Cd 3.54-3.71, 8 Zn 3.54-3.59, 2 Mg 3.71
6 Zn 0.5000 0.5000 0.0000  4 Cd 2.73
7 Cd 0.0000 0.5000 0.1264  5 Zn 2.64-2.73
8 Zn 0.0000 0.0000 0.0000  4 Cd 2.73
9 Zn 0.0000 0.5000 0.3645  3 Cd 2.64-2.78, 2 Mg 2.78
10 Cd 0.5000 0.0000 0.8736  5 Zn 2.64-2.73

=====

Computed, not measured: a geometry-optimized AcMgZn4Cd2 structure at the GGA-PBE level of DFT.

Properties
* uncorrected energy: -13.8 eV for the cell shown
* Fermi-level density of states: 3.73 states/eV/f.u.
* formation energy: -0.143 eV per atom
* size of the total moment: 0.000 μB/atom
* theoretical density: 7.1 g cm⁻³

a = 4.6126 Å, b = 4.6126 Å, c = 9.7598 Å
α = 76.33°, β = 76.33°, γ = 60.00°
Closest atoms and distances in Å follow each position.
Atoms (fractional coordinates):
1 Cd 0.2388 0.2388 0.2836  6 Zn 2.78-2.82
2 Cd 0.7612 0.7612 0.7164  6 Zn 2.78-2.82
3 Zn 0.3994 0.3994 0.8018  3 Cd 2.78, 1 Mg 2.83
4 Ac 0.0000 0.0000 0.0000  8 Zn 3.25-3.58
5 Mg 0.5000 0.5000 0.5000  8 Zn 2.83-2.89
6 Zn 0.8731 0.8731 0.3808  4 Cd 2.82-3.15, 3 Mg 2.89
7 Zn 0.1269 0.1269 0.6192  4 Cd 2.82-3.15, 3 Mg 2.89
8 Zn 0.6006 0.6006 0.1982  3 Cd 2.78, 1 Mg 2.83